[1]
A relaxed structure of Nd2GaNi12B3, computed with PBE.

The calculation puts the size of the total moment at 0.000 Bohr magnetons per cell. As for the density of states at the Fermi level: 27.5 states/eV per cell. The calculation puts the total energy at -0.2110 Ha/atom.

It has space group R-3m (No. 166, hexagonal axes), with a = 7.2506 Å, b = 7.2506 Å, c = 16.0661 Å, α = 90.00°, β = 90.00° and γ = 120.00°. Symmetry generates all atoms from Nd at (0.0000, 0.0000, 0.1002), Ga at (0.0000, 0.0000, 0.5000), Ni at (0.0209, 0.5105, 0.8812), Ni at (0.0720, 0.5360, 0.3154) and B at (0.0000, 0.5000, 0.0000).

---

[2]
A relaxed structure of SrPuPdRh, computed with PBE.

The calculation puts the size of the total moment at 19.552 Bohr magnetons per cell. As for the density of states at the Fermi level: 47.6 states/eV per cell. The calculation puts the total energy at -0.2724 Ha/atom.

It has space group F-43m (No. 216), with a = 7.120 Å, b = 7.120 Å, c = 7.120 Å, α = 90.00°, β = 90.00° and γ = 90.00°. Symmetry generates all atoms from Sr at (0.000, 0.000, 0.000), Pu at (0.000, 0.000, 0.500), Pd at (0.250, 0.250, 0.250) and Rh at (0.250, 0.250, 0.750).

---

Q: What is the formula in the first record?
A: Nd2GaNi12B3